The following is a DFT calculation (GGA-PBE) of a relaxed structure of HoLuIrRh.

a b c (Å): 6.762 6.762 6.762
angles (deg): 90.00 90.00 90.00
Space group F-43m (No. 216)
Unique sites:
1 Ho 0.000 0.000 0.000 x4
2 Lu 0.000 0.000 0.500 x4
3 Ir 0.250 0.250 0.750 x4
4 Rh 0.250 0.250 0.250 x4

Values from the calculation:
Energy   -7.28 eV per atom
Theoretical density   13.6 g cm⁻³

---

The following is a DFT calculation (GGA-PBE) of a relaxed structure of HoLuIrRu.

a b c (Å): 6.735 6.735 6.735
angles (deg): 90.00 90.00 90.00
Space group F-43m (No. 216)
Unique sites:
1 Ho 0.000 0.000 0.000 x4
2 Lu 0.000 0.000 0.500 x4
3 Ir 0.250 0.250 0.750 x4
4 Ru 0.250 0.250 0.250 x4

Values from the calculation:
Energy   -7.51 eV per atom
Theoretical density   13.8 g cm⁻³

---

What is the energy in the second record? -7.51 eV per atom